(1)
VASP calculation (PBE) on a relaxed structure of BaTl2H2.

CIF file:
```
data_BaTl2H2
_chemical_formula_sum 'Ba2 Tl4 H4'
_space_group_name_H-M_alt 'I 4/m m m'
_space_group_IT_number 139
_space_group_name_Hall '-I 4 2'
_cell_length_a 4.806
_cell_length_b 4.806
_cell_length_c 10.160
_cell_angle_alpha 90.00
_cell_angle_beta 90.00
_cell_angle_gamma 90.00
loop_
_atom_site_label
_atom_site_type_symbol
_atom_site_fract_x
_atom_site_fract_y
_atom_site_fract_z
Ba1 Ba 0.000 0.000 0.000
Tl1 Tl 0.000 0.000 0.337
H1 H 0.000 0.500 0.250
```

***

(2)
VASP calculation (PBE) on a relaxed structure of BaTl3H.

CIF file:
```
data_BaTl3H
_chemical_formula_sum 'Ba1 Tl3 H1'
_space_group_name_H-M_alt 'P m -3 m'
_space_group_IT_number 221
_space_group_name_Hall '-P 4 2 3'
_cell_length_a 5.189
_cell_length_b 5.189
_cell_length_c 5.189
_cell_angle_alpha 90.00
_cell_angle_beta 90.00
_cell_angle_gamma 90.00
loop_
_atom_site_label
_atom_site_type_symbol
_atom_site_fract_x
_atom_site_fract_y
_atom_site_fract_z
Ba1 Ba 0.000 0.000 0.000
Tl1 Tl 0.000 0.500 0.500
H1 H 0.500 0.500 0.500
```

***

(3)
VASP calculation (PBE) on a relaxed structure of BaTlH2.

CIF file:
```
data_BaTlH2
_chemical_formula_sum 'Ba4 Tl4 H8'
_space_group_name_H-M_alt 'I -4 2 d'
_space_group_IT_number 122
_space_group_name_Hall 'I -4 2bw'
_cell_length_a 5.392
_cell_length_b 5.392
_cell_length_c 13.107
_cell_angle_alpha 90.00
_cell_angle_beta 90.00
_cell_angle_gamma 90.00
loop_
_atom_site_label
_atom_site_type_symbol
_atom_site_fract_x
_atom_site_fract_y
_atom_site_fract_z
Ba1 Ba 0.000 0.000 0.000
Tl1 Tl 0.000 0.000 0.500
H1 H 0.246 0.250 0.625
```

***

(4)
VASP calculation (PBE) on a relaxed structure of BaY2TlH.

CIF file:
```
data_BaY2TlH
_chemical_formula_sum 'Ba1 Y2 Tl1 H1'
_space_group_name_H-M_alt 'P 4/m m m'
_space_group_IT_number 123
_space_group_name_Hall '-P 4 2'
_cell_length_a 4.971
_cell_length_b 4.971
_cell_length_c 5.547
_cell_angle_alpha 90.00
_cell_angle_beta 90.00
_cell_angle_gamma 90.00
loop_
_atom_site_label
_atom_site_type_symbol
_atom_site_fract_x
_atom_site_fract_y
_atom_site_fract_z
Ba1 Ba 0.000 0.000 0.000
Y1 Y 0.000 0.500 0.500
Tl1 Tl 0.500 0.500 0.000
H1 H 0.500 0.500 0.500
```

***

(5)
VASP calculation (PBE) on a relaxed structure of Ba2YTlH.

CIF file:
```
data_Ba2YTlH
_chemical_formula_sum 'Ba2 Y1 Tl1 H1'
_space_group_name_H-M_alt 'P 4/m m m'
_space_group_IT_number 123
_space_group_name_Hall '-P 4 2'
_cell_length_a 5.309
_cell_length_b 5.309
_cell_length_c 5.474
_cell_angle_alpha 90.00
_cell_angle_beta 90.00
_cell_angle_gamma 90.00
loop_
_atom_site_label
_atom_site_type_symbol
_atom_site_fract_x
_atom_site_fract_y
_atom_site_fract_z
Ba1 Ba 0.000 0.500 0.000
Y1 Y 0.000 0.000 0.500
Tl1 Tl 0.500 0.500 0.500
H1 H 0.000 0.000 0.000
```

***

(6)
VASP calculation (PBE) on a relaxed structure of Ba2TlZnH6.

CIF file:
```
data_Ba2TlZnH6
_chemical_formula_sum 'Ba6 Tl3 Zn3 H18'
_space_group_name_H-M_alt 'R -3 m'
_space_group_IT_number 166
_space_group_name_Hall '-R 3 2"'
_cell_length_a 5.4746
_cell_length_b 5.4746
_cell_length_c 19.0085
_cell_angle_alpha 90.00
_cell_angle_beta 90.00
_cell_angle_gamma 120.00
loop_
_atom_site_label
_atom_site_type_symbol
_atom_site_fract_x
_atom_site_fract_y
_atom_site_fract_z
Ba1 Ba 0.0000 0.0000 0.2307
Tl1 Tl 0.0000 0.0000 0.0000
Zn1 Zn 0.0000 0.0000 0.5000
H1 H 0.0096 0.5048 0.2202
```

***

(7)
VASP calculation (PBE) on a relaxed structure of Ba2TlZnH.

CIF file:
```
data_Ba2TlZnH
_chemical_formula_sum 'Ba2 Tl1 Zn1 H1'
_space_group_name_H-M_alt 'P 4/m m m'
_space_group_IT_number 123
_space_group_name_Hall '-P 4 2'
_cell_length_a 5.682
_cell_length_b 5.682
_cell_length_c 4.652
_cell_angle_alpha 90.00
_cell_angle_beta 90.00
_cell_angle_gamma 90.00
loop_
_atom_site_label
_atom_site_type_symbol
_atom_site_fract_x
_atom_site_fract_y
_atom_site_fract_z
Ba1 Ba 0.000 0.500 0.000
Tl1 Tl 0.000 0.000 0.500
Zn1 Zn 0.500 0.500 0.500
H1 H 0.000 0.000 0.000
```

Properties
Polymorph energy (0 for the lowest one), meV/atom: 47

***

(8)
VASP calculation (PBE) on a relaxed structure of Ba2TlZnH.

CIF file:
```
data_Ba2TlZnH
_chemical_formula_sum 'Ba2 Tl1 Zn1 H1'
_space_group_name_H-M_alt 'P 4/m m m'
_space_group_IT_number 123
_space_group_name_Hall '-P 4 2'
_cell_length_a 5.738
_cell_length_b 5.738
_cell_length_c 4.414
_cell_angle_alpha 90.00
_cell_angle_beta 90.00
_cell_angle_gamma 90.00
loop_
_atom_site_label
_atom_site_type_symbol
_atom_site_fract_x
_atom_site_fract_y
_atom_site_fract_z
Ba1 Ba 0.000 0.500 0.000
Tl1 Tl 0.000 0.000 0.500
Zn1 Zn 0.500 0.500 0.500
H1 H 0.500 0.500 0.000
```

Properties
Polymorph energy (0 for the lowest one), meV/atom: 0

***

(9)
VASP calculation (PBE) on a relaxed structure of BaZr2TlH.

CIF file:
```
data_BaZr2TlH
_chemical_formula_sum 'Ba1 Zr2 Tl1 H1'
_space_group_name_H-M_alt 'P 4/m m m'
_space_group_IT_number 123
_space_group_name_Hall '-P 4 2'
_cell_length_a 4.774
_cell_length_b 4.774
_cell_length_c 4.925
_cell_angle_alpha 90.00
_cell_angle_beta 90.00
_cell_angle_gamma 90.00
loop_
_atom_site_label
_atom_site_type_symbol
_atom_site_fract_x
_atom_site_fract_y
_atom_site_fract_z
Ba1 Ba 0.000 0.000 0.000
Zr1 Zr 0.000 0.500 0.500
Tl1 Tl 0.500 0.500 0.000
H1 H 0.000 0.000 0.500
```

***

(10)
VASP calculation (PBE) on a relaxed structure of BaVH6.

CIF file:
```
data_BaVH6
_chemical_formula_sum 'Ba2 V2 H12'
_space_group_name_H-M_alt 'C 1 2/m 1'
_space_group_IT_number 12
_cell_length_a 6.553
_cell_length_b 7.090
_cell_length_c 4.148
_cell_angle_alpha 90.00
_cell_angle_beta 100.38
_cell_angle_gamma 90.00
loop_
_space_group_symop_operation_xyz
'x,y,z'
'-x,-y,-z'
'-x,y,-z'
'x,-y,z'
'x+1/2,y+1/2,z'
'-x+1/2,-y+1/2,-z'
'-x+1/2,y+1/2,-z'
'x+1/2,-y+1/2,z'
loop_
_atom_site_label
_atom_site_type_symbol
_atom_site_fract_x
_atom_site_fract_y
_atom_site_fract_z
Ba1 Ba 0.000 0.000 0.000
V1 V 0.000 0.500 0.500
H1 H 0.120 0.325 0.766
H2 H 0.248 0.000 0.578
```

***

(11)
VASP calculation (PBE) on a relaxed structure of BaV3H.

CIF file:
```
data_BaV3H
_chemical_formula_sum 'Ba1 V3 H1'
_space_group_name_H-M_alt 'P m -3 m'
_space_group_IT_number 221
_space_group_name_Hall '-P 4 2 3'
_cell_length_a 4.808
_cell_length_b 4.808
_cell_length_c 4.808
_cell_angle_alpha 90.00
_cell_angle_beta 90.00
_cell_angle_gamma 90.00
loop_
_atom_site_label
_atom_site_type_symbol
_atom_site_fract_x
_atom_site_fract_y
_atom_site_fract_z
Ba1 Ba 0.000 0.000 0.000
V1 V 0.000 0.000 0.500
H1 H 0.500 0.500 0.500
```

Properties
Polymorph energy (0 for the lowest one), meV/atom: 1984

***

(12)
VASP calculation (PBE) on a relaxed structure of BaVH2.

CIF file:
```
data_BaVH2
_chemical_formula_sum 'Ba4 V4 H8'
_space_group_name_H-M_alt 'F m -3 m'
_space_group_IT_number 225
_space_group_name_Hall '-F 4 2 3'
_cell_length_a 6.549
_cell_length_b 6.549
_cell_length_c 6.549
_cell_angle_alpha 90.00
_cell_angle_beta 90.00
_cell_angle_gamma 90.00
loop_
_atom_site_label
_atom_site_type_symbol
_atom_site_fract_x
_atom_site_fract_y
_atom_site_fract_z
Ba1 Ba 0.000 0.000 0.000
V1 V 0.000 0.000 0.500
H1 H 0.250 0.250 0.250
```

Properties
Polymorph energy (0 for the lowest one), meV/atom: 400

***

(13)
VASP calculation (PBE) on a relaxed structure of Ba3VH.

CIF file:
```
data_Ba3VH
_chemical_formula_sum 'Ba3 V1 H1'
_space_group_name_H-M_alt 'P m -3 m'
_space_group_IT_number 221
_space_group_name_Hall '-P 4 2 3'
_cell_length_a 5.649
_cell_length_b 5.649
_cell_length_c 5.649
_cell_angle_alpha 90.00
_cell_angle_beta 90.00
_cell_angle_gamma 90.00
loop_
_atom_site_label
_atom_site_type_symbol
_atom_site_fract_x
_atom_site_fract_y
_atom_site_fract_z
Ba1 Ba 0.000 0.000 0.500
V1 V 0.500 0.500 0.500
H1 H 0.000 0.000 0.000
```

Properties
Polymorph energy (0 for the lowest one), meV/atom: 0

***

(14)
VASP calculation (PBE) on a relaxed structure of Ba2VH.

CIF file:
```
data_Ba2VH
_chemical_formula_sum 'Ba8 V4 H4'
_space_group_name_H-M_alt 'I -4 2 d'
_space_group_IT_number 122
_space_group_name_Hall 'I -4 2bw'
_cell_length_a 8.008
_cell_length_b 8.008
_cell_length_c 8.426
_cell_angle_alpha 90.00
_cell_angle_beta 90.00
_cell_angle_gamma 90.00
loop_
_atom_site_label
_atom_site_type_symbol
_atom_site_fract_x
_atom_site_fract_y
_atom_site_fract_z
Ba1 Ba 0.157 0.250 0.125
V1 V 0.000 0.000 0.500
H1 H 0.000 0.000 0.000
```

Properties
Polymorph energy (0 for the lowest one), meV/atom: 0

***

The calculation returns the following calculated total energy values, one per record and in order: -2.50; -2.45; -2.79; -4.14; -3.33; -2.97; -2.38; -2.42; -4.74; -3.80; -3.45; -3.85; -3.30; -3.58 eV per atom.
The calculation returns the following volume values, one per record and in order: 235; 140; 381; 137; 154; 493; 150; 145; 112; 190; 111; 281; 180; 540 Å³ per cell.